VASP calculation (GGA-PBE) on NaCuTe after structural relaxation.

Unit cell a=4.3168 b=5.3984 c=7.7474 alpha=106.19 beta=89.99 gamma=113.59
Sites, in units of the cell vectors:
Te  0.7001  0.3820  0.9495
Te  0.1812  0.3436  0.4193
Cu  0.2296  0.4406  0.7746
Cu  0.6517  0.2849  0.5942
Na  0.4407  0.8629  0.1844
Na  0.9406  0.8627  0.6844

Values from the calculation:
**Density of states at the Fermi level**: 0.3 states/eV per cell
**Total magnetic moment**: 0.00 μB/f.u.
**Formation energy without anion corrections**: -437 meV/atom